a.
The following is a PBE-GGA calculation of crystalline Pm8PrSc2 at its relaxed geometry, from Alexandria.

```
data_Pm8PrSc2
_cell_length_a 9.028
_cell_length_b 16.203
_cell_length_c 5.915
_cell_angle_alpha 90.00
_cell_angle_beta 122.64
_cell_angle_gamma 90.00
_space_group_name_H-M_alt 'C 1 2/m 1'
_space_group_IT_number 12
_space_group_name_Hall '-C 2y'
loop_
_atom_site_label
_atom_site_type_symbol
_atom_site_fract_x
_atom_site_fract_y
_atom_site_fract_z
_atom_site_occupancy
Pm1 Pm 0.000 0.209 0.000 1
Pm2 Pm 0.077 0.500 0.793 1
Pm3 Pm 0.218 0.121 0.674 1
Pr1 Pr 0.000 0.000 0.000 1
Sc1 Sc 0.000 0.310 0.500 1
```


b.
The following is a PBE-GGA calculation of crystalline Pm8PrSc2 at its relaxed geometry, from Alexandria.

```
data_Pm8PrSc2
_cell_length_a 16.687
_cell_length_b 8.395
_cell_length_c 5.522
_cell_angle_alpha 90.00
_cell_angle_beta 109.27
_cell_angle_gamma 90.00
_space_group_name_H-M_alt 'C 1 2/m 1'
_space_group_IT_number 12
_space_group_name_Hall '-C 2y'
loop_
_atom_site_label
_atom_site_type_symbol
_atom_site_fract_x
_atom_site_fract_y
_atom_site_fract_z
_atom_site_occupancy
Pm1 Pm 0.000 0.199 0.000 1
Pm2 Pm 0.144 0.203 0.644 1
Pm3 Pm 0.162 0.500 0.162 1
Pr1 Pr 0.000 0.500 0.500 1
Sc1 Sc 0.200 0.000 0.199 1
```


Short version: a is the least stable of them.